Version P
# LaTm2In

LaTm2In after structural relaxation (PBE, Alexandria).

Computed properties:
- SG: No. 225
- Total magnetization: 1.73 Bohr magnetons per cell

abc: 5.4588 5.4588 5.4588
angles: 60.00 60.00 60.00
Site moments in Bohr magnetons follow the coordinates.
Fractional positions:
Tm1 0.2500 0.2500 0.2500  0.40
La1 0.0000 0.0000 0.0000  0.40
Tm2 0.7500 0.7500 0.7500  0.40
In1 0.5000 0.5000 0.5000  0.00

Version Q
# LaTm2In

LaTm2In after structural relaxation (PBE, Alexandria).

Computed properties:
- SG: No. 123
- Total magnetization: 0.40 Bohr magnetons per cell

abc: 4.8390 4.9210 4.9210
angles: 90.00 90.00 90.00
Site moments in Bohr magnetons follow the coordinates.
Fractional positions:
In1 0.5000 0.0000 0.0000  -0.01
La1 0.5000 0.5000 0.5000  0.07
Tm1 0.0000 0.5000 0.0000  0.11
Tm2 0.0000 0.0000 0.5000  0.11

How do the energies compare? Relative to the most stable structure, in eV/atom: version P 0.176; version Q 0.000.

Version P
# La8TmIn2

La8TmIn2 after structural relaxation (PBE, Alexandria).

Computed properties:
- SG: No. 12
- Total magnetization: 0.00 Bohr magnetons per cell

abc: 5.8232 8.8331 8.8331
angles: 61.42 80.92 80.92
Fractional positions:
La1 0.2398 0.5533 0.5533
La2 0.2661 0.5248 0.1611
Tm1 0.0000 0.0000 0.0000
La3 0.7602 0.4467 0.4467
In1 0.1515 0.7668 0.7668
La4 0.2661 0.1611 0.5248
La5 0.7339 0.8389 0.4752
La6 0.5935 0.8860 0.8860
In2 0.8485 0.2332 0.2332
La7 0.7339 0.4752 0.8389
La8 0.4065 0.1140 0.1140

Version Q
# La8TmIn2

La8TmIn2 after structural relaxation (PBE, Alexandria).

Computed properties:
- SG: No. 71
- Total magnetization: 0.00 Bohr magnetons per cell

abc: 5.3011 9.1279 9.4597
angles: 118.85 106.27 90.00
Fractional positions:
La1 0.0000 0.6706 0.0000
La2 0.1486 0.1486 0.2971
Tm1 0.5000 0.0000 0.0000
La3 0.3413 0.5584 0.6826
La4 0.8514 0.8514 0.7029
La5 0.0000 0.3294 0.0000
In1 0.1973 0.6972 0.3945
La6 0.3413 0.1240 0.6826
La7 0.6587 0.4416 0.3174
In2 0.8027 0.3028 0.6055
La8 0.6587 0.8760 0.3174

How do the energies compare? Relative to the most stable structure, in eV/atom: version P 0.172; version Q 0.000.

Version P
# La2TmIn

La2TmIn after structural relaxation (PBE, Alexandria).

Computed properties:
- SG: No. 59
- Total magnetization: 0.00 Bohr magnetons per cell

abc: 5.7461 6.1667 6.8822
angles: 89.99 90.00 90.00
Fractional positions:
In1 0.2500 0.3508 0.2499
La1 0.7500 0.1370 0.0053
Tm1 0.2500 0.3731 0.7497
Tm2 0.7500 0.6269 0.2503
La2 0.2500 0.8633 0.5052
In2 0.7500 0.6492 0.7501
La3 0.7500 0.1367 0.4948
La4 0.2500 0.8630 0.9947

Version Q
# La2TmIn

La2TmIn after structural relaxation (PBE, Alexandria).

Computed properties:
- SG: No. 225
- Total magnetization: 0.01 Bohr magnetons per cell

abc: 5.6315 5.6315 5.6315
angles: 60.00 60.00 60.00
Fractional positions:
La1 0.2500 0.2500 0.2500
Tm1 0.0000 0.0000 0.0000
In1 0.5000 0.5000 0.5000
La2 0.7500 0.7500 0.7500

How do the energies compare? Relative to the most stable structure, in eV/atom: version P 0.000; version Q 0.086.

Version P
# La2TmIn

La2TmIn after structural relaxation (PBE, Alexandria).

Computed properties:
- SG: No. 123
- Total magnetization: 0.00 Bohr magnetons per cell

abc: 5.1101 4.9140 4.9140
angles: 90.00 90.00 90.00
Fractional positions:
In1 0.5000 0.0000 0.0000
La1 0.0000 0.0000 0.5000
La2 0.0000 0.5000 0.0000
Tm1 0.5000 0.5000 0.5000

Version Q
# La2TmIn

La2TmIn after structural relaxation (PBE, Alexandria).

Computed properties:
- SG: No. 123
- Total magnetization: 0.00 Bohr magnetons per cell

abc: 4.2719 4.2719 7.0274
angles: 90.00 90.00 90.00
Fractional positions:
Tm1 0.5000 0.5000 0.5000
In1 0.5000 0.5000 0.0000
La1 0.0000 0.0000 0.2339
La2 0.0000 0.0000 0.7661

Version R
# La2TmIn

La2TmIn after structural relaxation (PBE, Alexandria).

Computed properties:
- SG: No. 44
- Total magnetization: 0.01 Bohr magnetons per cell

abc: 4.8871 4.9521 6.1759
angles: 113.64 113.31 90.00
Fractional positions:
In1 0.4969 0.4969 0.9938
La1 0.0025 0.0025 0.0050
La2 0.2456 0.7456 0.4913
Tm1 0.7550 0.2550 0.5100

Version S
# La2TmIn

La2TmIn after structural relaxation (PBE, Alexandria).

Computed properties:
- SG: No. 160
- Total magnetization: 0.43 Bohr magnetons per cell

abc: 3.6788 3.6788 11.4552
angles: 80.76 80.76 60.00
Site moments in Bohr magnetons follow the coordinates.
Fractional positions:
La1 0.0805 0.0805 0.7584  0.04
La2 0.2527 0.2527 0.2418  0.03
Tm1 0.5002 0.5002 0.4995  0.19
In1 0.6666 0.6666 0.0003  0.00

How do the energies compare? Relative to the most stable structure, in eV/atom: version P 0.000; version Q 0.070; version R 0.036; version S 0.165.

Version P
# La2TmIn3

La2TmIn3 after structural relaxation (PBE, Alexandria).

Computed properties:
- SG: No. 15
- Total magnetization: 0.00 Bohr magnetons per cell

abc: 6.6039 6.2914 9.2021
angles: 102.95 111.03 90.00
Fractional positions:
In1 0.3681 0.7500 0.0000
La1 0.2130 0.9003 0.6515
La2 0.4385 0.4003 0.6515
In2 0.2618 0.0460 0.2996
Tm1 0.8634 0.7500 0.0000
In3 0.6319 0.2500 0.0000
La3 0.7870 0.0997 0.3485
Tm2 0.1366 0.2500 0.0000
La4 0.5615 0.5997 0.3485
In4 0.7382 0.9540 0.7004
In5 0.9622 0.4540 0.7004
In6 0.0378 0.5460 0.2996

Version Q
# La2TmIn3

La2TmIn3 after structural relaxation (PBE, Alexandria).

Computed properties:
- SG: No. 123
- Total magnetization: 0.00 Bohr magnetons per cell

abc: 3.8287 3.8287 11.9000
angles: 90.00 90.00 90.00
Fractional positions:
La1 0.5000 0.5000 0.1756
Tm1 0.5000 0.5000 0.5000
La2 0.5000 0.5000 0.8244
In1 0.0000 0.0000 0.6466
In2 0.0000 0.0000 0.0000
In3 0.0000 0.0000 0.3534

How do the energies compare? Relative to the most stable structure, in eV/atom: version P 0.078; version Q 0.000.

Version P
# La5TmIn2

La5TmIn2 after structural relaxation (PBE, Alexandria).

Computed properties:
- SG: No. 63
- Total magnetization: 0.00 Bohr magnetons per cell

abc: 5.2134 6.6388 16.7109
angles: 90.00 90.00 113.12
Fractional positions:
In1 0.7700 0.5400 0.3486
In2 0.2300 0.4600 0.8486
La1 0.3522 0.7043 0.4712
La2 0.0348 0.0696 0.1027
La3 0.9652 0.9304 0.6027
La4 0.9652 0.9304 0.8973
La5 0.4762 0.9524 0.7500
In3 0.2300 0.4600 0.6514
La6 0.3522 0.7043 0.0288
La7 0.6478 0.2957 0.5288
Tm1 0.7545 0.5090 0.7500
In4 0.7700 0.5400 0.1514
Tm2 0.2455 0.4910 0.2500
La8 0.6478 0.2957 0.9712
La9 0.0348 0.0696 0.3973
La10 0.5238 0.0476 0.2500

Version Q
# La5TmIn2

La5TmIn2 after structural relaxation (PBE, Alexandria).

Computed properties:
- SG: No. 55
- Total magnetization: 0.00 Bohr magnetons per cell

abc: 3.8289 7.9374 16.5867
angles: 90.00 90.00 90.00
Fractional positions:
La1 0.0000 0.0160 0.2471
In1 0.5000 0.7278 0.8811
La2 0.0000 0.4840 0.7471
La3 0.0000 0.9840 0.7529
La4 0.5000 0.2257 0.8718
In2 0.5000 0.2722 0.1189
In3 0.5000 0.7722 0.3811
La5 0.0000 0.5160 0.2529
Tm1 0.0000 0.0000 0.5000
La6 0.5000 0.7257 0.6282
Tm2 0.0000 0.5000 0.0000
La7 0.0000 0.5000 0.5000
In4 0.5000 0.2278 0.6189
La8 0.0000 0.0000 0.0000
La9 0.5000 0.7743 0.1282
La10 0.5000 0.2743 0.3718

How do the energies compare? Relative to the most stable structure, in eV/atom: version P 0.010; version Q 0.000.

Version P
# La4TmIn

La4TmIn after structural relaxation (PBE, Alexandria).

Computed properties:
- SG: No. 11
- Total magnetization: 0.00 Bohr magnetons per cell

abc: 6.2670 7.1743 9.0488
angles: 90.00 104.72 90.00
Fractional positions:
Tm1 0.7043 0.7500 0.6690
La1 0.2240 0.4993 0.6539
Tm2 0.2957 0.2500 0.3310
La2 0.4908 0.7500 0.0055
La3 0.2240 0.0007 0.6539
La4 0.7760 0.9993 0.3461
La5 0.0000 0.5000 0.0000
In1 0.7169 0.2500 0.6584
La6 0.5092 0.2500 0.9945
La7 0.7760 0.5007 0.3461
In2 0.2831 0.7500 0.3416
La8 0.0000 0.0000 0.0000

Version Q
# La4TmIn

La4TmIn after structural relaxation (PBE, Alexandria).

Computed properties:
- SG: No. 15
- Total magnetization: 0.00 Bohr magnetons per cell

abc: 5.5250 8.8097 10.7158
angles: 104.45 90.02 128.79
Fractional positions:
In1 0.8730 0.1230 0.2459
La1 0.9419 0.1918 0.9173
La2 0.4754 0.7255 0.9173
Tm1 0.6246 0.3746 0.7493
Tm2 0.3754 0.6254 0.2507
La3 0.7765 0.0259 0.5866
La4 0.6899 0.4393 0.4134
La5 0.0581 0.8082 0.0827
La6 0.3101 0.5607 0.5866
In2 0.1270 0.8770 0.7541
La7 0.5246 0.2745 0.0827
La8 0.2235 0.9741 0.4134

How do the energies compare? Relative to the most stable structure, in eV/atom: version P 0.000; version Q 0.056.

Version P
# La6TmIn2

La6TmIn2 after structural relaxation (PBE, Alexandria).

Computed properties:
- SG: No. 189
- Total magnetization: 0.00 Bohr magnetons per cell

abc: 5.0930 8.3685 8.3690
angles: 120.00 90.00 90.00
Fractional positions:
In1 0.0000 0.3333 0.6666
La1 0.5000 0.5664 0.0000
La2 0.5000 0.4337 0.4337
La3 0.0000 0.9999 0.2452
La4 0.0000 0.2453 0.0000
In2 0.0000 0.6666 0.3334
La5 0.0000 0.7547 0.7548
La6 0.5000 0.0000 0.5663
Tm1 0.5000 0.0001 0.0000

Version Q
# La6TmIn2

La6TmIn2 after structural relaxation (PBE, Alexandria).

Computed properties:
- SG: No. 12
- Total magnetization: 0.00 Bohr magnetons per cell

abc: 4.7864 8.2519 8.2363
angles: 109.13 106.89 90.00
Fractional positions:
In1 0.9420 0.1884 0.8839
La1 0.8353 0.5099 0.6706
La2 0.1647 0.4901 0.3294
Tm1 0.5000 0.5000 0.0000
La3 0.2787 0.1594 0.5574
In2 0.0580 0.8116 0.1161
La4 0.5972 0.1493 0.1944
La5 0.7213 0.8406 0.4426
La6 0.4028 0.8507 0.8056

How do the energies compare? Relative to the most stable structure, in eV/atom: version P 0.058; version Q 0.000.

Version P
# LaYTmIn

LaYTmIn after structural relaxation (PBE, Alexandria).

Computed properties:
- SG: No. 216
- Total magnetization: 0.97 Bohr magnetons per cell

abc: 5.5352 5.5352 5.5352
angles: 60.00 60.00 60.00
Site moments in Bohr magnetons follow the coordinates.
Fractional positions:
In1 0.7500 0.7500 0.7500  -0.01
Tm1 0.0000 0.0000 0.0000  0.24
Y1 0.2500 0.2500 0.2500  0.24
La1 0.5000 0.5000 0.5000  0.13

Version Q
# LaYTmIn

LaYTmIn after structural relaxation (PBE, Alexandria).

Computed properties:
- SG: No. 216
- Total magnetization: 1.53 Bohr magnetons per cell

abc: 5.4897 5.4897 5.4900
angles: 120.00 120.00 90.00
Site moments in Bohr magnetons follow the coordinates.
Fractional positions:
La1 0.0000 0.0000 0.0000  0.36
In1 0.5000 0.5000 0.0000  -0.01
Y1 0.2500 0.7500 0.5000  0.25
Tm1 0.7500 0.2500 0.5000  0.34

How do the energies compare? Relative to the most stable structure, in eV/atom: version P 0.000; version Q 0.039.

Version P
# LaInW3

LaInW3 after structural relaxation (PBE, Alexandria).

Computed properties:
- SG: No. 221
- Total magnetization: 0.00 Bohr magnetons per cell

abc: 4.9035 4.9035 4.9035
angles: 90.00 90.00 90.00
Fractional positions:
La1 0.0000 0.0000 0.0000
W1 0.0000 0.5000 0.0000
W2 0.5000 0.0000 0.0000
In1 0.5000 0.5000 0.5000
W3 0.0000 0.0000 0.5000

Version Q
# LaInW3

LaInW3 after structural relaxation (PBE, Alexandria).

Computed properties:
- SG: No. 221
- Total magnetization: 0.00 Bohr magnetons per cell

abc: 5.0053 5.0053 5.0053
angles: 90.00 90.00 90.00
Fractional positions:
La1 0.5000 0.5000 0.5000
In1 0.0000 0.0000 0.0000
W1 0.0000 0.0000 0.5000
W2 0.0000 0.5000 0.0000
W3 0.5000 0.0000 0.0000

How do the energies compare? Relative to the most stable structure, in eV/atom: version P 0.552; version Q 0.000.

Version P
# La2InW2

La2InW2 after structural relaxation (PBE, Alexandria).

Computed properties:
- SG: No. 127
- Total magnetization: 0.00 Bohr magnetons per cell

abc: 7.3500 7.3500 4.6987
angles: 90.00 90.00 90.00
Fractional positions:
La1 0.1822 0.6822 0.5000
In1 0.0000 0.0000 0.0000
W1 0.6159 0.1159 0.0000
La2 0.3178 0.1822 0.5000
W2 0.1159 0.3841 0.0000
In2 0.5000 0.5000 0.0000
La3 0.6822 0.8178 0.5000
La4 0.8178 0.3178 0.5000
W3 0.3841 0.8841 0.0000
W4 0.8841 0.6159 0.0000

Version Q
# La2InW2

La2InW2 after structural relaxation (PBE, Alexandria).

Computed properties:
- SG: No. 139
- Total magnetization: 0.00 Bohr magnetons per cell

abc: 4.7630 4.7630 6.9048
angles: 69.82 69.82 90.00
Fractional positions:
W1 0.5943 0.5943 0.8114
La1 0.7500 0.2500 0.5000
W2 0.4057 0.4057 0.1886
In1 0.0000 0.0000 0.0000
La2 0.2500 0.7500 0.5000

How do the energies compare? Relative to the most stable structure, in eV/atom: version P 0.000; version Q 0.778.